one) Below is a geometry-optimized KAs2Br structure, with properties calculated at the PBE level.

The space group is P4/mmm (No. 123) and the conventional cell measures 4.0651, 4.0651 and 8.0483 Å, with angles of 90.00, 90.00 and 90.00 degrees. The distinct sites, in fractional coordinates, are K at (0.0000, 0.0000, 0.0000), As at (0.0000, 0.5000, 0.5000) and Br at (0.5000, 0.5000, 0.0000).

=====

two) Below is a geometry-optimized KAs2Br structure, with properties calculated at the PBE level.

The space group is I-4m2 (No. 119) and the conventional cell measures 5.2342, 5.2342 and 7.3579 Å, with angles of 90.00, 90.00 and 90.00 degrees. The distinct sites, in fractional coordinates, are K at (0.0000, 0.0000, 0.0000), As at (0.0000, 0.0000, 0.5000), As at (0.0000, 0.5000, 0.7500) and Br at (0.0000, 0.5000, 0.2500).

=====

three) Below is a geometry-optimized KAs2Br structure, with properties calculated at the PBE level.

The space group is P4mm (No. 99) and the conventional cell measures 3.6651, 3.6651 and 8.2931 Å, with angles of 90.00, 90.00 and 90.00 degrees. The distinct sites, in fractional coordinates, are K at (0.0000, 0.0000, 0.0000), As at (0.0000, 0.0000, 0.4543), As at (0.5000, 0.5000, 0.3542) and Br at (0.5000, 0.5000, 0.7972).

=====

four) Below is a geometry-optimized KAs2Br structure, with properties calculated at the PBE level.

The space group is Fm-3m (No. 225) and the conventional cell measures 7.5052, 7.5052 and 7.5052 Å, with angles of 90.00, 90.00 and 90.00 degrees. The distinct sites, in fractional coordinates, are K at (0.0000, 0.0000, 0.0000), As at (0.2500, 0.2500, 0.2500) and Br at (0.0000, 0.0000, 0.5000).

=====

Which of them is the most stable, and which is the least stable? three) and four), in that order.

=====

one) Below is a geometry-optimized KAs2Br structure, with properties calculated at the PBE level.

The space group is Pm (No. 6) and the conventional cell measures 5.1997, 3.7101 and 7.1063 Å, with angles of 90.00, 98.77 and 90.00 degrees. The distinct sites, in fractional coordinates, are K at (0.0000, 0.0000, 0.0000), As at (0.0350, 0.0000, 0.5031), As at (0.3438, 0.5000, 0.5532) and Br at (0.4932, 0.5000, 0.9747).

=====

two) Below is a geometry-optimized KAs2Br structure, with properties calculated at the PBE level.

The space group is R-3m (No. 166, hexagonal axes) and the conventional cell measures 3.4913, 3.4913 and 29.6928 Å, with angles of 90.00, 90.00 and 120.00 degrees. The distinct sites, in fractional coordinates, are K at (0.0000, 0.0000, 0.0000), As at (0.0000, 0.0000, 0.2390) and Br at (0.0000, 0.0000, 0.5000).

=====

three) Below is a geometry-optimized KAs2Br structure, with properties calculated at the PBE level.

The space group is Cmmm (No. 65) and the conventional cell measures 5.6668, 14.2228 and 2.8779 Å, with angles of 90.00, 90.00 and 90.00 degrees. The distinct sites, in fractional coordinates, are K at (0.0000, 0.0000, 0.0000), As at (0.2500, 0.2500, 0.5000) and Br at (0.0000, 0.5000, 0.0000).

=====

four) Below is a geometry-optimized KAs2Br structure, with properties calculated at the PBE level.

The space group is Cmmm (No. 65) and the conventional cell measures 3.8988, 5.6173 and 9.4255 Å, with angles of 90.00, 90.00 and 90.00 degrees. The distinct sites, in fractional coordinates, are K at (0.0000, 0.0000, 0.0000), As at (0.0000, 0.5000, 0.2823) and Br at (0.0000, 0.0000, 0.5000).

=====

Which of them is the most stable, and which is the least stable? one) and two), in that order.

=====

one) Below is a geometry-optimized KAs2Br structure, with properties calculated at the PBE level.

The space group is P2/m (No. 10) and the conventional cell measures 3.7390, 7.3918 and 4.9557 Å, with angles of 90.00, 90.18 and 90.00 degrees. The distinct sites, in fractional coordinates, are K at (0.0000, 0.0000, 0.0000), As at (0.2469, 0.5000, 0.1561) and Br at (0.5000, 0.0000, 0.5000).

=====

two) Below is a geometry-optimized KAs2Br structure, with properties calculated at the PBE level.

The space group is R3m (No. 160, hexagonal axes) and the conventional cell measures 3.9776, 3.9776 and 24.8345 Å, with angles of 90.00, 90.00 and 120.00 degrees. The distinct sites, in fractional coordinates, are K at (0.0000, 0.0000, 0.0000), As at (0.0000, 0.0000, 0.4906), As at (0.0000, 0.0000, 0.7725) and Br at (0.0000, 0.0000, 0.2490).

=====

Which of them is the most stable, and which is the least stable? two) and one), in that order.

=====

one) Below is a geometry-optimized KAs2Br structure, with properties calculated at the PBE level.

The space group is Imm2 (No. 44) and the conventional cell measures 3.7341, 6.5678 and 9.9994 Å, with angles of 90.00, 90.00 and 90.00 degrees. The distinct sites, in fractional coordinates, are K at (0.0000, 0.0000, 0.0000), As at (0.0000, 0.0000, 0.4619), As at (0.0000, 0.5000, 0.8055) and Br at (0.0000, 0.5000, 0.2352).

=====

two) Below is a geometry-optimized KAs2Br structure, with properties calculated at the PBE level.

The space group is P4/mmm (No. 123) and the conventional cell measures 3.2892, 3.2892 and 9.2220 Å, with angles of 90.00, 90.00 and 90.00 degrees. The distinct sites, in fractional coordinates, are K at (0.0000, 0.0000, 0.0000), As at (0.5000, 0.5000, 0.2780) and Br at (0.0000, 0.0000, 0.5000).

=====

Which of them is the most stable, and which is the least stable? one) and two), in that order.

=====

one) Below is a geometry-optimized KAs2Br structure, with properties calculated at the PBE level.

The space group is C2/m (No. 12) and the conventional cell measures 5.6924, 16.2029 and 4.0138 Å, with angles of 90.00, 134.09 and 90.00 degrees. The distinct sites, in fractional coordinates, are K at (0.0000, 0.0000, 0.0000), As at (0.2500, 0.2500, 0.0000) and Br at (0.0000, 0.5000, 0.0000).

=====

two) Below is a geometry-optimized KAs2Br structure, with properties calculated at the PBE level.

The space group is C2/m (No. 12) and the conventional cell measures 14.7457, 3.7138 and 5.1118 Å, with angles of 90.00, 107.45 and 90.00 degrees. The distinct sites, in fractional coordinates, are K at (0.0000, 0.0000, 0.0000), As at (0.2335, 0.5000, 0.8373) and Br at (0.0000, 0.5000, 0.5000).

=====

three) Below is a geometry-optimized KAs2Br structure, with properties calculated at the PBE level.

The space group is Pmmm (No. 47) and the conventional cell measures 3.1638, 6.1545 and 6.3489 Å, with angles of 90.00, 90.00 and 90.00 degrees. The distinct sites, in fractional coordinates, are K at (0.0000, 0.0000, 0.0000), As at (0.5000, 0.1858, 0.5000) and Br at (0.0000, 0.5000, 0.0000).

=====

Which of them is the most stable, and which is the least stable? two) and three), in that order.

=====

one) Below is a geometry-optimized KAsBr2 structure, with properties calculated at the PBE level.

The space group is Pm (No. 6) and the conventional cell measures 3.9175, 5.5633 and 5.5621 Å, with angles of 90.00, 90.00 and 90.00 degrees. The distinct sites, in fractional coordinates, are K at (0.0000, 0.0000, 0.0000), As at (0.4997, 0.5000, 0.5012), Br at (0.4994, 0.0000, 0.5008) and Br at (0.5012, 0.5000, 0.0012).

=====

two) Below is a geometry-optimized KAsBr2 structure, with properties calculated at the PBE level.

The space group is Cm (No. 8) and the conventional cell measures 14.8420, 4.0963 and 4.2703 Å, with angles of 90.00, 90.17 and 90.00 degrees. The distinct sites, in fractional coordinates, are K at (0.0000, 0.0000, 0.0000), As at (0.2131, 0.0000, 0.5061), Br at (0.2068, 0.5000, 0.0061) and Br at (0.4222, 0.0000, 0.4991).

=====

three) Below is a geometry-optimized KAsBr2 structure, with properties calculated at the PBE level.

The space group is I-42d (No. 122) and the conventional cell measures 6.0715, 6.0715 and 17.0206 Å, with angles of 90.00, 90.00 and 90.00 degrees. The distinct sites, in fractional coordinates, are K at (0.0000, 0.0000, 0.0000), As at (0.0000, 0.0000, 0.5000) and Br at (0.1625, 0.2500, 0.6250).

=====

Which of them is the most stable, and which is the least stable? one) and two), in that order.